[1]
# Ac12Nd3H5, optimized geometry, DFT PBE
data_Ac12Nd3H5
_cell_length_a 15.336
_cell_length_b 15.336
_cell_length_c 15.336
_cell_angle_alpha 109.47
_cell_angle_beta 109.47
_cell_angle_gamma 109.47
_space_group_name_H-M_alt 'P 1'
_space_group_IT_number 1
_space_group_name_Hall 'P 1'
loop_
_atom_site_label
_atom_site_type_symbol
_atom_site_fract_x
_atom_site_fract_y
_atom_site_fract_z
Ac1 Ac 0.006 0.198 0.106
Ac2 Ac 0.006 0.307 0.899
Ac3 Ac 0.092 0.698 0.693
Ac4 Ac 0.092 0.894 0.399
Ac5 Ac 0.101 0.606 0.408
Ac6 Ac 0.101 0.994 0.693
Ac7 Ac 0.106 0.006 0.198
Ac8 Ac 0.106 0.601 0.908
Ac9 Ac 0.193 0.198 0.592
Ac10 Ac 0.193 0.494 0.601
Ac11 Ac 0.198 0.106 0.006
Ac12 Ac 0.198 0.592 0.193
Ac13 Ac 0.302 0.307 0.908
Ac14 Ac 0.302 0.494 0.394
Ac15 Ac 0.307 0.899 0.006
Ac16 Ac 0.307 0.908 0.302
Ac17 Ac 0.394 0.302 0.494
Ac18 Ac 0.394 0.592 0.899
Ac19 Ac 0.399 0.092 0.894
Ac20 Ac 0.399 0.807 0.506
Ac21 Ac 0.408 0.101 0.606
Ac22 Ac 0.408 0.807 0.802
Ac23 Ac 0.494 0.394 0.302
Ac24 Ac 0.494 0.601 0.193
Ac25 Ac 0.506 0.399 0.807
Ac26 Ac 0.506 0.606 0.698
Ac27 Ac 0.592 0.193 0.198
Ac28 Ac 0.592 0.899 0.394
Ac29 Ac 0.601 0.193 0.494
Ac30 Ac 0.601 0.908 0.106
Ac31 Ac 0.606 0.408 0.101
Ac32 Ac 0.606 0.698 0.506
Ac33 Ac 0.693 0.092 0.698
Ac34 Ac 0.693 0.101 0.994
Ac35 Ac 0.698 0.506 0.606
Ac36 Ac 0.698 0.693 0.092
Ac37 Ac 0.802 0.408 0.807
Ac38 Ac 0.802 0.894 0.994
Ac39 Ac 0.807 0.506 0.399
Ac40 Ac 0.807 0.802 0.408
Ac41 Ac 0.894 0.399 0.092
Ac42 Ac 0.894 0.994 0.802
Ac43 Ac 0.899 0.006 0.307
Ac44 Ac 0.899 0.394 0.592
Ac45 Ac 0.908 0.106 0.601
Ac46 Ac 0.908 0.302 0.307
Ac47 Ac 0.994 0.693 0.101
Ac48 Ac 0.994 0.802 0.894
Nd1 Nd 0.125 0.250 0.375
Nd2 Nd 0.125 0.375 0.750
Nd3 Nd 0.250 0.375 0.125
Nd4 Nd 0.250 0.875 0.625
Nd5 Nd 0.375 0.125 0.250
Nd6 Nd 0.375 0.750 0.125
Nd7 Nd 0.625 0.250 0.875
Nd8 Nd 0.625 0.875 0.750
Nd9 Nd 0.750 0.125 0.375
Nd10 Nd 0.750 0.625 0.875
Nd11 Nd 0.875 0.625 0.250
Nd12 Nd 0.875 0.750 0.625
H1 H 0.000 0.000 0.000
H2 H 0.000 0.000 0.500
H3 H 0.000 0.500 0.000
H4 H 0.000 0.500 0.500
H5 H 0.125 0.750 0.875
H6 H 0.125 0.875 0.250
H7 H 0.250 0.125 0.875
H8 H 0.250 0.625 0.375
H9 H 0.375 0.250 0.625
H10 H 0.375 0.625 0.750
H11 H 0.500 0.000 0.000
H12 H 0.500 0.000 0.500
H13 H 0.500 0.500 0.000
H14 H 0.500 0.500 0.500
H15 H 0.625 0.375 0.250
H16 H 0.625 0.750 0.375
H17 H 0.750 0.375 0.625
H18 H 0.750 0.875 0.125
H19 H 0.875 0.125 0.750
H20 H 0.875 0.250 0.125
# M_tot ... 0.0 μB per cell
# Total energy ... -3.9788 eV/atom



[2]
# AcNd2H, optimized geometry, DFT PBE
data_AcNd2H
_cell_length_a 3.521
_cell_length_b 3.521
_cell_length_c 9.037
_cell_angle_alpha 90.00
_cell_angle_beta 90.00
_cell_angle_gamma 90.00
_space_group_name_H-M_alt 'P 1'
_space_group_IT_number 1
_space_group_name_Hall 'P 1'
loop_
_atom_site_label
_atom_site_type_symbol
_atom_site_fract_x
_atom_site_fract_y
_atom_site_fract_z
Ac1 Ac 0.000 0.000 0.000
Nd1 Nd 0.500 0.500 0.321
Nd2 Nd 0.500 0.500 0.679
H1 H 0.000 0.000 0.500
# Distance to the lowest polymorph of the same formula ... 0.189 eV per atom
# M_tot ... 0.0 μB per cell



[3]
# Ac3NdH8, optimized geometry, DFT PBE
data_Ac3NdH8
_cell_length_a 5.783
_cell_length_b 5.783
_cell_length_c 5.783
_cell_angle_alpha 90.00
_cell_angle_beta 90.00
_cell_angle_gamma 90.00
_space_group_name_H-M_alt 'P 1'
_space_group_IT_number 1
_space_group_name_Hall 'P 1'
loop_
_atom_site_label
_atom_site_type_symbol
_atom_site_fract_x
_atom_site_fract_y
_atom_site_fract_z
Ac1 Ac 0.000 0.000 0.500
Ac2 Ac 0.000 0.500 0.000
Ac3 Ac 0.500 0.000 0.000
Nd1 Nd 0.500 0.500 0.500
H1 H 0.261 0.261 0.261
H2 H 0.261 0.261 0.739
H3 H 0.261 0.739 0.261
H4 H 0.261 0.739 0.739
H5 H 0.739 0.261 0.261
H6 H 0.739 0.261 0.739
H7 H 0.739 0.739 0.261
H8 H 0.739 0.739 0.739
# M_tot ... 0.0 μB per cell
# Total energy ... -4.2594 eV/atom



[4]
# Ac3Nd5H12, optimized geometry, DFT PBE
data_Ac3Nd5H12
_cell_length_a 12.214
_cell_length_b 12.214
_cell_length_c 12.214
_cell_angle_alpha 109.47
_cell_angle_beta 109.47
_cell_angle_gamma 109.47
_space_group_name_H-M_alt 'P 1'
_space_group_IT_number 1
_space_group_name_Hall 'P 1'
loop_
_atom_site_label
_atom_site_type_symbol
_atom_site_fract_x
_atom_site_fract_y
_atom_site_fract_z
Ac1 Ac 0.125 0.250 0.375
Ac2 Ac 0.125 0.375 0.750
Ac3 Ac 0.250 0.375 0.125
Ac4 Ac 0.250 0.875 0.625
Ac5 Ac 0.375 0.125 0.250
Ac6 Ac 0.375 0.750 0.125
Ac7 Ac 0.625 0.250 0.875
Ac8 Ac 0.625 0.875 0.750
Ac9 Ac 0.750 0.125 0.375
Ac10 Ac 0.750 0.625 0.875
Ac11 Ac 0.875 0.625 0.250
Ac12 Ac 0.875 0.750 0.625
Nd1 Nd 0.000 0.000 0.000
Nd2 Nd 0.000 0.000 0.500
Nd3 Nd 0.000 0.500 0.000
Nd4 Nd 0.000 0.500 0.500
Nd5 Nd 0.125 0.750 0.875
Nd6 Nd 0.125 0.875 0.250
Nd7 Nd 0.250 0.125 0.875
Nd8 Nd 0.250 0.625 0.375
Nd9 Nd 0.375 0.250 0.625
Nd10 Nd 0.375 0.625 0.750
Nd11 Nd 0.500 0.000 0.000
Nd12 Nd 0.500 0.000 0.500
Nd13 Nd 0.500 0.500 0.000
Nd14 Nd 0.500 0.500 0.500
Nd15 Nd 0.625 0.375 0.250
Nd16 Nd 0.625 0.750 0.375
Nd17 Nd 0.750 0.375 0.625
Nd18 Nd 0.750 0.875 0.125
Nd19 Nd 0.875 0.125 0.750
Nd20 Nd 0.875 0.250 0.125
H1 H 0.058 0.220 0.143
H2 H 0.058 0.339 0.916
H3 H 0.077 0.720 0.661
H4 H 0.077 0.857 0.416
H5 H 0.084 0.643 0.423
H6 H 0.084 0.942 0.661
H7 H 0.143 0.058 0.220
H8 H 0.143 0.584 0.923
H9 H 0.161 0.220 0.577
H10 H 0.161 0.442 0.584
H11 H 0.220 0.143 0.058
H12 H 0.220 0.577 0.161
H13 H 0.280 0.339 0.923
H14 H 0.280 0.442 0.357
H15 H 0.339 0.916 0.058
H16 H 0.339 0.923 0.280
H17 H 0.357 0.280 0.442
H18 H 0.357 0.577 0.916
H19 H 0.416 0.077 0.857
H20 H 0.416 0.839 0.558
H21 H 0.423 0.084 0.643
H22 H 0.423 0.839 0.780
H23 H 0.442 0.357 0.280
H24 H 0.442 0.584 0.161
H25 H 0.558 0.416 0.839
H26 H 0.558 0.643 0.720
H27 H 0.577 0.161 0.220
H28 H 0.577 0.916 0.357
H29 H 0.584 0.161 0.442
H30 H 0.584 0.923 0.143
H31 H 0.643 0.423 0.084
H32 H 0.643 0.720 0.558
H33 H 0.661 0.077 0.720
H34 H 0.661 0.084 0.942
H35 H 0.720 0.558 0.643
H36 H 0.720 0.661 0.077
H37 H 0.780 0.423 0.839
H38 H 0.780 0.857 0.942
H39 H 0.839 0.558 0.416
H40 H 0.839 0.780 0.423
H41 H 0.857 0.416 0.077
H42 H 0.857 0.942 0.780
H43 H 0.916 0.058 0.339
H44 H 0.916 0.357 0.577
H45 H 0.923 0.143 0.584
H46 H 0.923 0.280 0.339
H47 H 0.942 0.661 0.084
H48 H 0.942 0.780 0.857
# M_tot ... 0.0 μB per cell
# Total energy ... -4.2344 eV/atom



[5]
# AcNd2H, optimized geometry, DFT PBE
data_AcNd2H
_cell_length_a 10.269
_cell_length_b 10.269
_cell_length_c 10.269
_cell_angle_alpha 20.90
_cell_angle_beta 20.90
_cell_angle_gamma 20.90
_space_group_name_H-M_alt 'P 1'
_space_group_IT_number 1
_space_group_name_Hall 'P 1'
loop_
_atom_site_label
_atom_site_type_symbol
_atom_site_fract_x
_atom_site_fract_y
_atom_site_fract_z
Ac1 Ac 0.000 0.000 0.000
Nd1 Nd 0.121 0.121 0.121
Nd2 Nd 0.879 0.879 0.879
H1 H 0.500 0.500 0.500
# Distance to the lowest polymorph of the same formula ... 0.000 eV per atom
# M_tot ... 0.0 μB per cell



[6]
# Ac2Nd4H, optimized geometry, DFT PBE
data_Ac2Nd4H
_cell_length_a 9.820
_cell_length_b 9.820
_cell_length_c 9.820
_cell_angle_alpha 149.62
_cell_angle_beta 149.62
_cell_angle_gamma 43.49
_space_group_name_H-M_alt 'P 1'
_space_group_IT_number 1
_space_group_name_Hall 'P 1'
loop_
_atom_site_label
_atom_site_type_symbol
_atom_site_fract_x
_atom_site_fract_y
_atom_site_fract_z
Ac1 Ac 0.155 0.155 0.000
Ac2 Ac 0.845 0.845 0.000
Nd1 Nd 0.000 0.500 0.500
Nd2 Nd 0.359 0.359 0.000
Nd3 Nd 0.500 0.000 0.500
Nd4 Nd 0.641 0.641 0.000
H1 H 0.500 0.500 0.000
# M_tot ... 0.0 μB per cell
# Total energy ... -4.3170 eV/atom



[7]
# AcNdNi2H6, optimized geometry, DFT PBE
data_AcNdNi2H6
_cell_length_a 6.829
_cell_length_b 6.829
_cell_length_c 6.829
_cell_angle_alpha 40.79
_cell_angle_beta 40.79
_cell_angle_gamma 40.79
_space_group_name_H-M_alt 'P 1'
_space_group_IT_number 1
_space_group_name_Hall 'P 1'
loop_
_atom_site_label
_atom_site_type_symbol
_atom_site_fract_x
_atom_site_fract_y
_atom_site_fract_z
Ac1 Ac 0.000 0.000 0.000
Nd1 Nd 0.500 0.500 0.500
Ni1 Ni 0.230 0.230 0.230
Ni2 Ni 0.770 0.770 0.770
H1 H 0.075 0.560 0.560
H2 H 0.440 0.440 0.925
H3 H 0.440 0.925 0.440
H4 H 0.560 0.075 0.560
H5 H 0.560 0.560 0.075
H6 H 0.925 0.440 0.440
# M_tot ... 0.0 μB per cell
# Total energy ... -4.4059 eV/atom



[8]
# AcPm2NdH, optimized geometry, DFT PBE
data_AcPm2NdH
_cell_length_a 5.246
_cell_length_b 5.246
_cell_length_c 5.252
_cell_angle_alpha 90.00
_cell_angle_beta 90.00
_cell_angle_gamma 90.00
_space_group_name_H-M_alt 'P 1'
_space_group_IT_number 1
_space_group_name_Hall 'P 1'
loop_
_atom_site_label
_atom_site_type_symbol
_atom_site_fract_x
_atom_site_fract_y
_atom_site_fract_z
Ac1 Ac 0.000 0.000 0.000
Pm1 Pm 0.000 0.500 0.500
Pm2 Pm 0.500 0.000 0.500
Nd1 Nd 0.500 0.500 0.000
H1 H 0.500 0.500 0.500
# M_tot ... 0.0 μB per cell
# Total energy ... -4.5080 eV/atom